Entry 1:
Here is Rb2PdIBr3 after structural relaxation from OQMD. Energies are from GGA-PBE.

Values from the calculation:
**E_tot**: -3.08 eV/atom

Structure (POSCAR):
```
Rb2PdIBr3
1.0
4.662 0.000 0.000
0.000 5.684 5.364
0.000 -5.684 5.364
Rb Pd I Br
2 1 1 3
direct
0.000 0.235 0.765
0.000 0.765 0.235
0.500 0.250 0.250
0.500 0.494 0.494
0.500 0.016 0.016
0.500 0.031 0.469
0.500 0.469 0.031
```

***

Entry 2:
Here is HoPtNO after structural relaxation from OQMD. Energies are from GGA-PBE.

Values from the calculation:
**E_tot**: -6.93 eV/atom
**Energy above the most stable polymorph in this dataset**: 1.56 eV per formula unit

Structure (POSCAR):
```
HoPtNO
1.0
4.829 0.000 0.000
0.000 4.829 0.000
0.000 0.000 4.440
Ho Pt N O
2 2 2 2
direct
0.250 0.750 0.000
0.750 0.250 0.000
0.250 0.250 0.498
0.750 0.750 0.502
0.250 0.250 0.998
0.750 0.750 0.002
0.250 0.750 0.500
0.750 0.250 0.500
```

***

Entry 3:
Here is Bi2W after structural relaxation from OQMD. Energies are from GGA-PBE.

Values from the calculation:
**E_tot**: -6.28 eV/atom
**Energy above the most stable polymorph in this dataset**: 0.75 eV per formula unit

Structure (POSCAR):
```
Bi2W
1.0
6.355 0.000 0.000
0.000 7.242 0.000
0.000 0.000 3.444
Bi W
4 2
direct
0.204 0.155 0.000
0.296 0.655 0.500
0.704 0.345 0.500
0.796 0.845 0.000
0.000 0.500 0.000
0.500 0.000 0.500
```

***

Entry 4:
Here is K2NaOsCl6 after structural relaxation from OQMD. Energies are from GGA-PBE.

Values from the calculation:
**E_tot**: -3.81 eV/atom

Structure (POSCAR):
```
K2NaOsCl6
1.0
0.000 5.027 5.027
5.027 0.000 5.027
5.027 5.027 0.000
K Na Os Cl
2 1 1 6
direct
0.250 0.250 0.250
0.750 0.750 0.750
0.000 0.000 0.000
0.500 0.500 0.500
0.265 0.265 0.735
0.265 0.735 0.265
0.265 0.735 0.735
0.735 0.265 0.265
0.735 0.265 0.735
0.735 0.735 0.265
```

***

Entry 5:
Here is Tb2Tm after structural relaxation from OQMD. Energies are from GGA-PBE.

Values from the calculation:
**E_tot**: -4.32 eV/atom
**Energy above the most stable polymorph in this dataset**: 0.72 eV per formula unit
**E_form**: 0.26 eV/atom

Structure (POSCAR):
```
Tb2Tm
1.0
0.000 4.601 4.601
4.601 0.000 4.601
4.601 4.601 0.000
Tb Tm
4 2
direct
0.000 0.000 0.000
0.000 0.000 0.500
0.000 0.500 0.000
0.500 0.000 0.000
0.375 0.375 0.375
0.625 0.625 0.625
```

***

Entry 6:
Here is ZrGaCuPt after structural relaxation from OQMD. Energies are from GGA-PBE.

Values from the calculation:
**E_tot**: -5.87 eV/atom
**Energy above the most stable polymorph in this dataset**: 0.41 eV per formula unit

Structure (POSCAR):
```
ZrGaCuPt
1.0
0.000 3.195 3.195
3.195 0.000 3.195
3.195 3.195 0.000
Zr Ga Cu Pt
1 1 1 1
direct
0.000 0.000 0.000
0.250 0.250 0.250
0.500 0.500 0.500
0.750 0.750 0.750
```

***

Entry 7:
Here is PmAgTeO after structural relaxation from OQMD. Energies are from GGA-PBE.

Values from the calculation:
**E_tot**: -5.75 eV/atom
**Energy above the most stable polymorph in this dataset**: 0.00 eV per formula unit

Structure (POSCAR):
```
PmAgTeO
1.0
5.857 0.000 0.000
0.000 9.948 0.000
0.000 0.000 5.857
Pm Ag Te O
4 4 4 4
direct
0.000 0.112 0.250
0.000 0.888 0.750
0.500 0.112 0.750
0.500 0.888 0.250
0.250 0.500 0.009
0.250 0.500 0.509
0.750 0.500 0.491
0.750 0.500 0.991
0.000 0.294 0.750
0.000 0.706 0.250
0.500 0.294 0.250
0.500 0.706 0.750
0.250 0.000 0.000
0.250 0.000 0.500
0.750 0.000 0.000
0.750 0.000 0.500
```

***

Entry 8:
Here is Ho2AlIrOs after structural relaxation from OQMD. Energies are from GGA-PBE.

Values from the calculation:
**E_tot**: -7.28 eV/atom

Structure (POSCAR):
```
Ho2AlIrOs
1.0
-2.034 4.263 2.903
2.034 -4.263 2.903
2.034 4.263 -2.903
Ho Al Ir Os
2 1 1 1
direct
0.205 0.000 0.205
0.795 0.000 0.795
0.491 0.491 0.000
0.766 0.266 0.500
0.223 0.723 0.500
```

***

Entry 9:
Here is SmPPd after structural relaxation from OQMD. Energies are from GGA-PBE.

Values from the calculation:
**E_tot**: -6.35 eV/atom

Structure (POSCAR):
```
SmPPd
1.0
4.205 0.000 0.000
-2.102 3.641 0.000
0.000 0.000 7.779
Sm P Pd
2 2 2
direct
0.000 0.000 0.000
0.000 0.000 0.500
0.333 0.667 0.250
0.667 0.333 0.750
0.333 0.667 0.750
0.667 0.333 0.250
```

***

Entry 10:
Here is Sr3LiPd after structural relaxation from OQMD. Energies are from GGA-PBE.

Values from the calculation:
**E_tot**: -2.71 eV/atom

Structure (POSCAR):
```
Sr3LiPd
1.0
6.943 0.000 0.000
-1.132 7.334 0.000
-1.798 -2.786 7.033
Sr Li Pd
6 2 2
direct
0.019 0.085 0.258
0.228 0.471 0.855
0.368 0.685 0.445
0.632 0.315 0.555
0.772 0.529 0.145
0.981 0.915 0.742
0.473 0.933 0.129
0.527 0.067 0.871
0.370 0.270 0.141
0.630 0.730 0.859
```

***

Entry 11:
Here is SrCuSbPt after structural relaxation from OQMD. Energies are from GGA-PBE.

Values from the calculation:
**E_tot**: -4.10 eV/atom
**Energy above the most stable polymorph in this dataset**: 0.40 eV per formula unit

Structure (POSCAR):
```
SrCuSbPt
1.0
0.000 3.472 3.472
3.472 0.000 3.472
3.472 3.472 0.000
Sr Cu Sb Pt
1 1 1 1
direct
0.000 0.000 0.000
0.750 0.750 0.750
0.250 0.250 0.250
0.500 0.500 0.500
```

***

Entry 12:
Here is Nd2YCo2B2N3 after structural relaxation from OQMD. Energies are from GGA-PBE.

Values from the calculation:
**E_tot**: -7.94 eV/atom

Structure (POSCAR):
```
Nd2YCo2B2N3
1.0
-1.797 1.797 9.905
1.797 -1.797 9.905
1.797 1.797 -9.905
Nd Y Co B N
2 1 2 2 3
direct
0.127 0.127 0.000
0.873 0.873 0.000
0.500 0.500 0.000
0.250 0.750 0.500
0.750 0.250 0.500
0.304 0.304 0.000
0.696 0.696 0.000
0.000 0.000 0.000
0.380 0.380 0.000
0.620 0.620 0.000
```

***

Entry 13:
Here is PrHgPO after structural relaxation from OQMD. Energies are from GGA-PBE.

Values from the calculation:
**E_tot**: -5.13 eV/atom

Structure (POSCAR):
```
PrHgPO
1.0
4.352 0.000 0.000
0.000 7.101 0.000
0.000 0.000 6.132
Pr Hg P O
2 2 2 2
direct
0.000 0.220 0.000
0.000 0.780 0.500
0.500 0.346 0.508
0.500 0.654 0.008
0.000 0.189 0.498
0.000 0.811 0.998
0.500 0.323 0.000
0.500 0.677 0.500
```

***

Entry 14:
Here is LuNiHgBi after structural relaxation from OQMD. Energies are from GGA-PBE.

Values from the calculation:
**E_tot**: -3.72 eV/atom
**Energy above the most stable polymorph in this dataset**: 0.03 eV per formula unit

Structure (POSCAR):
```
LuNiHgBi
1.0
0.000 3.510 3.510
3.510 0.000 3.510
3.510 3.510 0.000
Lu Ni Hg Bi
1 1 1 1
direct
0.000 0.000 0.000
0.500 0.500 0.500
0.750 0.750 0.750
0.250 0.250 0.250
```

***

Entry 15:
Here is ZrSiGe after structural relaxation from OQMD. Energies are from GGA-PBE.

Values from the calculation:
**E_tot**: -6.08 eV/atom
**Energy above the most stable polymorph in this dataset**: 0.00 eV per formula unit

Structure (POSCAR):
```
ZrSiGe
1.0
0.000 3.146 3.146
3.146 0.000 3.146
3.146 3.146 0.000
Zr Si Ge
1 1 1
direct
0.000 0.000 0.000
0.750 0.750 0.750
0.500 0.500 0.500
```

***

Entry 16:
Here is TbErPbC after structural relaxation from OQMD. Energies are from GGA-PBE.

Values from the calculation:
**E_tot**: -6.03 eV/atom

Structure (POSCAR):
```
TbErPbC
1.0
3.627 0.000 0.000
-1.813 3.141 0.000
0.000 0.000 16.093
Tb Er Pb C
2 2 2 2
direct
0.000 0.000 0.169
0.000 0.000 0.831
0.333 0.667 0.333
0.333 0.667 0.667
0.000 0.000 0.500
0.333 0.667 0.000
0.667 0.333 0.253
0.667 0.333 0.747
```

***

Entry 17:
Here is GdHo2ErAl2 after structural relaxation from OQMD. Energies are from GGA-PBE.

Values from the calculation:
**E_tot**: -4.58 eV/atom

Structure (POSCAR):
```
GdHo2ErAl2
1.0
5.224 0.000 0.000
-2.612 4.524 0.000
0.000 0.000 6.628
Gd Ho Er Al
1 2 1 2
direct
0.000 0.000 0.000
0.667 0.333 0.252
0.667 0.333 0.748
0.333 0.667 0.500
0.000 0.000 0.500
0.333 0.667 0.000
```

***

Entry 18:
Here is DyAlH2O2F3 after structural relaxation from OQMD. Energies are from GGA-PBE.

Values from the calculation:
**E_tot**: -5.87 eV/atom

Structure (POSCAR):
```
DyAlH2O2F3
1.0
4.995 0.000 0.000
1.910 5.624 0.000
0.095 2.171 6.326
Dy Al H O F
2 2 4 4 6
direct
0.216 0.283 0.315
0.784 0.717 0.685
0.336 0.210 0.828
0.664 0.790 0.172
0.259 0.789 0.951
0.281 0.788 0.415
0.719 0.212 0.585
0.741 0.211 0.049
0.416 0.859 0.935
0.447 0.847 0.389
0.553 0.153 0.611
0.584 0.141 0.065
0.023 0.291 0.639
0.054 0.262 0.007
0.271 0.544 0.741
0.729 0.456 0.259
0.946 0.738 0.993
0.977 0.709 0.361
```

***

Entry 19:
Here is PmSc2Ni9 after structural relaxation from OQMD. Energies are from GGA-PBE.

Values from the calculation:
**E_tot**: -6.06 eV/atom
**E_form**: -0.43 eV/atom

Structure (POSCAR):
```
PmSc2Ni9
1.0
2.448 1.413 7.929
-2.448 1.413 7.929
0.000 -2.826 7.929
Pm Sc Ni
1 2 9
direct
0.000 0.000 0.000
0.142 0.142 0.142
0.858 0.858 0.858
0.082 0.587 0.587
0.333 0.333 0.333
0.413 0.413 0.918
0.413 0.918 0.413
0.500 0.500 0.500
0.587 0.082 0.587
0.587 0.587 0.082
0.667 0.667 0.667
0.918 0.413 0.413
```

***

Entry 20:
Here is Y3In3IrPt2 after structural relaxation from OQMD. Energies are from GGA-PBE.

Values from the calculation:
**E_tot**: -6.30 eV/atom

Structure (POSCAR):
```
Y3In3IrPt2
1.0
7.630 0.000 0.000
-3.815 6.608 0.000
0.000 0.000 3.907
Y In Ir Pt
3 3 1 2
direct
0.000 0.402 0.000
0.402 0.000 0.000
0.598 0.598 0.000
0.000 0.743 0.500
0.257 0.257 0.500
0.743 0.000 0.500
0.000 0.000 0.000
0.333 0.667 0.500
0.667 0.333 0.500
```